## HfN2ClF (PBE)

Data for a relaxed HfN2ClF crystal.

Cell and atoms, written as POSCAR:
```
HfN2ClF
1.0
4.3752 0.0000 0.0000
0.0000 4.3752 0.0000
0.0000 0.0000 4.1183
Hf N Cl F
1 2 1 1
Cartesian
0.0000 0.0000 0.0000
0.0000 2.1876 0.0000
2.1876 0.0000 0.0000
2.1876 2.1876 2.0591
0.0000 0.0000 2.0591
```

Its space-group type is No. 123. As for the energy above the most stable polymorph in this dataset: 0 meV/atom. Its crystal system is tetragonal.

## HfN2ClF (PBE)

Data for a relaxed HfN2ClF crystal.

Cell and atoms, written as POSCAR:
```
HfN2ClF
1.0
3.9477 0.0000 0.0000
0.0000 3.9477 0.0000
0.0000 0.0000 3.8581
Hf N Cl F
1 2 1 1
Cartesian
0.0000 0.0000 0.0000
0.0000 1.9738 1.9291
1.9738 0.0000 1.9291
1.9738 1.9738 1.9291
1.9738 1.9738 0.0000
```

Its space-group type is No. 123. As for the energy above the most stable polymorph in this dataset: 1302 meV/atom. Its crystal system is tetragonal.

## HfNClF2 (PBE)

Data for a relaxed HfNClF2 crystal.

Cell and atoms, written as POSCAR:
```
HfNClF2
1.0
4.2463 0.0000 0.0000
0.0000 4.2463 0.0000
0.0000 0.0000 3.9534
Hf N Cl F
1 1 1 2
Cartesian
0.0000 0.0000 0.0000
2.1232 2.1232 0.0000
2.1232 2.1232 1.9767
0.0000 2.1232 1.9767
2.1232 0.0000 1.9767
```

Its space-group type is No. 123. As for the energy above the most stable polymorph in this dataset: 2247 meV/atom. Its crystal system is tetragonal.

## HfNClF2 (PBE)

Data for a relaxed HfNClF2 crystal.

Cell and atoms, written as POSCAR:
```
HfNClF2
1.0
4.1095 0.0000 0.0000
0.0000 4.1095 0.0000
0.0000 0.0000 4.3679
Hf N Cl F
1 1 1 2
Cartesian
0.0000 0.0000 0.0000
0.0000 0.0000 2.1840
2.0548 2.0548 2.1840
0.0000 2.0548 0.0000
2.0548 0.0000 0.0000
```

Its space-group type is No. 123. As for the energy above the most stable polymorph in this dataset: 0 meV/atom. Its crystal system is tetragonal.

## HfPdClF2 (PBE)

Data for a relaxed HfPdClF2 crystal.

Cell and atoms, written as POSCAR:
```
HfPdClF2
1.0
4.2179 0.0000 0.0000
0.0000 4.2179 0.0000
0.0000 0.0000 5.0416
Hf Pd Cl F
1 1 1 2
Cartesian
0.0000 0.0000 0.0000
2.1089 2.1089 2.5208
2.1089 2.1089 0.0000
0.0000 2.1089 2.5208
2.1089 0.0000 2.5208
```

Its space-group type is No. 123. Its crystal system is tetragonal.

## Rb2HfCl4F2 (PBE)

Data for a relaxed Rb2HfCl4F2 crystal.

Cell and atoms, written as POSCAR:
```
Rb2HfCl4F2
1.0
5.8294 -3.6568 0.0000
5.8294 3.6568 0.0000
-1.1732 0.0000 5.6861
Rb Hf Cl F
2 1 4 2
Cartesian
1.6196 0.0000 1.8465
8.8660 0.0000 3.8396
5.8294 0.0000 0.0000
4.4962 1.7819 1.1018
5.9894 1.7819 4.5843
4.4962 -1.7819 1.1018
5.9894 -1.7819 4.5843
3.3717 0.0000 4.1762
7.1139 0.0000 1.5099
```

Its space-group type is No. 12. Its crystal system is monoclinic.

## Rb2HfCl6F (PBE)

Data for a relaxed Rb2HfCl6F crystal.

Cell and atoms, written as POSCAR:
```
Rb2HfCl6F
1.0
-3.9869 3.9869 4.5469
3.9869 -3.9869 4.5469
3.9869 3.9869 -4.5469
Rb Hf Cl F
2 1 6 1
Cartesian
3.9869 0.0000 2.2735
0.0000 3.9869 2.2735
0.0000 0.0000 0.0000
1.7482 1.7482 0.0000
2.2387 -2.2387 4.5469
0.0000 0.0000 2.3829
0.0000 0.0000 6.7109
-2.2387 2.2387 4.5469
2.2387 2.2387 4.5469
0.0000 0.0000 4.5469
```

Its space-group type is No. 139. Its crystal system is tetragonal.

## Rb2HfClF6 (PBE)

Data for a relaxed Rb2HfClF6 crystal.

Cell and atoms, written as POSCAR:
```
Rb2HfClF6
1.0
-3.3743 3.3743 5.0467
3.3743 -3.3743 5.0467
3.3743 3.3743 -5.0467
Rb Hf Cl F
2 1 1 6
Cartesian
3.3743 0.0000 2.5234
0.0000 3.3743 2.5234
0.0000 0.0000 0.0000
0.0000 0.0000 5.0467
0.0000 0.0000 2.0023
1.4158 1.4158 0.0000
1.9585 -1.9585 5.0467
-1.9585 1.9585 5.0467
1.9585 1.9585 5.0467
0.0000 0.0000 8.0911
```

Its space-group type is No. 139. Its crystal system is tetragonal.

Taking the records one at a time from the top gives energy relative to the elements, uncorrected values of -29 96 54 -163 -36 -239 -164 -280 kJ per mole of atoms.
Taking the records one at a time from the top gives electronic total energy values of -6.3671 -5.0653 -4.2168 -6.4642 -4.5174 -5.0374 -4.1854 -5.3968 eV per atom.